Compound: BaZn2CdPd
Source: Alexandria
Functional: PBE-GGA
Structure: optimized geometry

The structure in POSCAR format:
```
BaZn2CdPd
1.0
4.9746 0.0000 0.0000
0.0000 4.9746 0.0000
0.0000 0.0000 5.2695
Ba Zn Cd Pd
1 2 1 1
Cartesian
0.0000 0.0000 0.0000 Ba
0.0000 2.4873 2.6347 Zn
2.4873 0.0000 2.6347 Zn
2.4873 2.4873 0.0000 Cd
2.4873 2.4873 2.6347 Pd
```

Properties
**Density**: 6.2 g/cm3
**Energy relative to the elements**: -304 meV per atom

Compound: YPN2
Source: Alexandria
Functional: PBE-GGA
Structure: optimized geometry

The structure in POSCAR format:
```
YPN2
1.0
3.4943 -5.3284 0.0000
3.4943 5.3284 0.0000
-1.7742 0.0000 3.2165
Y P N
2 2 4
Cartesian
3.4943 3.2556 0.0000 Y
3.4943 -3.2556 0.0000 Y
0.1958 0.0000 2.9173 P
4.0477 0.0000 0.6831 P
0.4066 1.4969 2.2471 N
0.4066 -1.4969 2.2471 N
4.7479 1.4063 0.7849 N
4.7479 -1.4063 0.7849 N
```

Properties
**Density**: 4.1 g/cm3
**Raw formation energy**: -944 meV/atom

Compound: AlAu4Br
Source: Alexandria
Functional: PBE-GGA
Structure: optimized geometry

The structure in POSCAR format:
```
AlAu4Br
1.0
0.0000 3.9687 3.9687
3.9687 0.0000 3.9687
3.9687 3.9687 0.0000
Al Au Br
1 4 1
Cartesian
0.0000 0.0000 0.0000 Al
4.9625 2.9749 2.9749 Au
2.9749 4.9625 2.9749 Au
2.9749 2.9749 4.9625 Au
4.9625 4.9625 4.9625 Au
1.9844 1.9844 1.9844 Br
```

Properties
**Density**: 11.9 g/cm3
**Raw formation energy**: 90 meV/atom

Compound: PmEr2As
Source: Alexandria
Functional: PBE-GGA
Structure: optimized geometry

The structure in POSCAR format:
```
PmEr2As
1.0
1.9142 1.1051 9.4294
-1.9142 1.1051 9.4294
0.0000 -2.2103 9.4294
Pm Er As
1 2 1
Cartesian
0.0000 0.0000 0.0000 Pm
0.0000 0.0000 6.4372 Er
0.0000 0.0000 21.8511 Er
0.0000 0.0000 14.1441 As
```

Properties
**Density**: 7.7 g/cm3
**Energy relative to the elements**: -606 meV per atom

Compound: K2CoSi
Source: Alexandria
Functional: PBE-GGA
Structure: optimized geometry

The structure in POSCAR format:
```
K2CoSi
1.0
2.8934 0.0000 0.0000
0.0000 3.7251 0.0000
-0.3048 0.0000 9.9917
K Co Si
2 1 1
Cartesian
0.0000 0.0000 0.0000 K
0.7107 1.8626 4.1111 K
0.7631 0.0000 7.0128 Co
2.1851 1.8626 7.1171 Si
```

Properties
**Density**: 2.5 g/cm3
**Raw formation energy**: 272 meV/atom

Compound: ZrAsRu
Source: Alexandria
Functional: PBE-GGA
Structure: optimized geometry

The structure in POSCAR format:
```
ZrAsRu
1.0
-1.5456 1.5456 5.3072
1.5456 -1.5456 5.3072
1.5456 1.5456 -5.3072
Zr As Ru
1 1 1
Cartesian
0.0000 0.0000 0.0000 Zr
0.0000 0.0000 3.3111 As
0.0000 0.0000 7.3175 Ru
```

Properties
**Density**: 8.8 g/cm3
**Energy relative to the elements**: -447 meV per atom

Q: Which total moment values were calculated for the entries above? A: 0.000 0.000 0.000 0.000 0.000 0.000, in μB per cell.